# PaInPb, relaxed, DFT PBE
# Uncorrected energy = -5.248 eV/atom
# ΔH_f (0 K) = 0.067 eV/atom
# Fermi-level density of states = 1.626 states/eV per atom
# E above lowest polymorph = 0.000 eV/atom
data_PaInPb
_cell_length_a 4.6780
_cell_length_b 15.8426
_cell_length_c 4.3910
_cell_angle_alpha 90.00
_cell_angle_beta 90.00
_cell_angle_gamma 90.00
_symmetry_space_group_name_H-M 'C m c m'
_symmetry_Int_Tables_number 63
_symmetry_space_group_name_Hall '-C 2c 2'
loop_
_atom_site_label
_atom_site_fract_x
_atom_site_fract_y
_atom_site_fract_z
_atom_site_occupancy
Pa1 0.0000 0.0890 0.2500 1
In1 0.0000 0.2529 0.7500 1
Pb1 0.0000 0.4225 0.2500 1